*w*
A geometry-optimized MnCdAu4 structure. Source: the Alexandria database, functional PBE.

```
12
Lattice="4.787 0.000 -1.416 0.000 7.968 0.000 -1.660 0.000 6.278" Properties=species:S:1:pos:R:3 pbc="T T T"
Mn 0.000 0.000 0.000
Mn 2.394 3.984 -0.708
Cd -0.830 3.984 3.139
Cd 1.564 0.000 2.431
Au 1.739 5.255 3.329
Au 2.825 2.677 4.096
Au 1.389 2.713 1.533
Au 0.303 5.290 0.766
Au -0.655 6.697 4.037
Au 2.696 6.661 0.059
Au 0.431 1.307 4.804
Au 3.782 1.271 0.825
```

Summary:
- total magnetic moment (μB/cell) = 8.4



*x*
A geometry-optimized MnCdAu4 structure. Source: the Alexandria database, functional PBE.

```
6
Lattice="0.000 3.895 3.895 3.895 0.000 3.895 3.895 3.895 0.000" Properties=species:S:1:pos:R:3 pbc="T T T"
Au 2.920 2.920 2.920
Au 2.920 4.869 4.869
Au 4.869 4.869 2.920
Au 4.869 2.920 4.869
Cd 5.842 5.842 5.842
Mn 0.000 0.000 0.000
```

Summary:
- total magnetic moment (μB/cell) = 4.4



Energies relative to the most stable structure, in meV per atom: *w* 0; *x* 120.